1.
Computed, not measured: crystalline Nd3B2Pt9Au at its relaxed geometry at the PBE-GGA level of DFT.

a b c (Å): 5.7922 5.7922 9.6085
angles (deg): 90.00 90.00 120.00
Sites, in units of the cell vectors:
Nd (0.0000, 0.0000, 0.0000)
Nd (0.3333, 0.6667, 0.6092)
Nd (0.6667, 0.3333, 0.3908)
B (0.3333, 0.6667, 0.1450)
B (0.6667, 0.3333, 0.8550)
Pt (0.0000, 0.5000, 0.0000)
Pt (0.1656, 0.3312, 0.2760)
Pt (0.1656, 0.8344, 0.2760)
Pt (0.3312, 0.1656, 0.7240)
Pt (0.5000, 0.0000, 0.0000)
Pt (0.5000, 0.5000, 0.0000)
Pt (0.6688, 0.8344, 0.2760)
Pt (0.8344, 0.1656, 0.7240)
Pt (0.8344, 0.6688, 0.7240)
Au (0.0000, 0.0000, 0.5000)

Values from the calculation:
E_tot = -6.43 eV per atom
calculated formation energy = -0.74 eV/atom
SG = P-3m1

2.
Computed, not measured: crystalline Nd3BRh3Au2 at its relaxed geometry at the PBE-GGA level of DFT.

a b c (Å): 7.6721 7.6721 3.5268
angles (deg): 90.00 90.00 120.00
Sites, in units of the cell vectors:
Nd (0.0000, 0.3636, 0.0000)
Nd (0.3636, 0.0000, 0.0000)
Nd (0.6364, 0.6364, 0.0000)
B (0.0000, 0.0000, 0.0000)
Rh (0.0000, 0.7933, 0.5000)
Rh (0.2067, 0.2067, 0.5000)
Rh (0.7933, 0.0000, 0.5000)
Au (0.3333, 0.6667, 0.5000)
Au (0.6667, 0.3333, 0.5000)

Values from the calculation:
E_tot = -6.13 eV per atom
calculated formation energy = -0.62 eV/atom
SG = P-62m

3.
Computed, not measured: crystalline NiB2Au2 at its relaxed geometry at the PBE-GGA level of DFT.

a b c (Å): 5.7115 5.7115 3.8054
angles (deg): 90.00 90.00 90.00
Sites, in units of the cell vectors:
Ni (0.0000, 0.0000, 0.0000)
Ni (0.5000, 0.5000, 0.0000)
B (0.1037, 0.3963, 0.0000)
B (0.3963, 0.8963, 0.0000)
B (0.6037, 0.1037, 0.0000)
B (0.8963, 0.6037, 0.0000)
Au (0.2434, 0.2566, 0.5000)
Au (0.2566, 0.7566, 0.5000)
Au (0.7434, 0.2434, 0.5000)
Au (0.7566, 0.7434, 0.5000)

Values from the calculation:
E_tot = -4.73 eV per atom
calculated formation energy = 0.41 eV/atom
SG = P4/mbm

4.
Computed, not measured: crystalline NiB2Au at its relaxed geometry at the PBE-GGA level of DFT.

a b c (Å): 5.9749 5.9749 5.9749
angles (deg): 134.76 134.76 65.90
Sites, in units of the cell vectors:
Ni (0.0000, 0.0000, 0.0000)
Ni (0.7500, 0.2500, 0.5000)
B (0.0797, 0.6250, 0.9547)
B (0.3750, 0.3297, 0.4547)
B (0.6703, 0.1250, 0.0453)
B (0.8750, 0.9203, 0.5453)
Au (0.2500, 0.7500, 0.5000)
Au (0.5000, 0.5000, 0.0000)

Values from the calculation:
E_tot = -4.90 eV per atom
calculated formation energy = 0.71 eV/atom
relative energy among the computed polymorphs = 0.0 meV per atom
SG = I-42d